[1]
{
  "formula": "NdScAg2O4",
  "functional": "PBE-GGA",
  "state": "relaxed",
  "lattice_angstrom": [[3.445, 0.000, 0.000], [-1.723, 2.984, 0.000], [0.000, 0.000, 12.527]],
  "species": ["Nd", "Sc", "Ag", "Ag", "O", "O", "O", "O"],
  "frac_coords": [[0.000, 0.000, 0.000], [0.000, 0.000, 0.500], [0.333, 0.667, 0.739], [0.667, 0.333, 0.261], [0.333, 0.667, 0.574], [0.333, 0.667, 0.904], [0.667, 0.333, 0.096], [0.667, 0.333, 0.426]],
  "spacegroup": "P-3m1, No. 164",
  "e_tot_ev_per_atom": -6.6841,
  "density_g_cm3": 6.0
}

---

[2]
{
  "formula": "ErMgNO",
  "functional": "PBE-GGA",
  "state": "relaxed",
  "lattice_angstrom": [[3.847, 0.000, 0.000], [0.000, 6.114, 0.000], [0.000, 0.000, 4.758]],
  "species": ["Er", "Er", "Mg", "Mg", "N", "N", "O", "O"],
  "frac_coords": [[0.000, 0.187, 0.000], [0.000, 0.813, 0.500], [0.500, 0.326, 0.516], [0.500, 0.674, 0.016], [0.000, 0.181, 0.490], [0.000, 0.819, 0.990], [0.500, 0.349, 0.965], [0.500, 0.651, 0.465]],
  "spacegroup": "Pmc2_1, No. 26",
  "e_above_lowest_polymorph_ev_per_atom": 0.023,
  "e_tot_ev_per_atom": -6.9609,
  "density_g_cm3": 6.6
}

---

[3]
{
  "formula": "NbGeO3",
  "functional": "PBE-GGA",
  "state": "relaxed",
  "lattice_angstrom": [[3.979, 0.000, 0.000], [0.000, 3.979, 0.000], [0.000, 0.000, 4.147]],
  "species": ["Nb", "Ge", "O", "O", "O"],
  "frac_coords": [[0.000, 0.000, 0.000], [0.500, 0.500, 0.389], [0.000, 0.000, 0.560], [0.000, 0.500, 0.124], [0.500, 0.000, 0.124]],
  "spacegroup": "P4mm, No. 99",
  "e_tot_ev_per_atom": -7.6104,
  "density_g_cm3": 5.4
}

---

[4]
{
  "formula": "La2AgSn",
  "functional": "PBE-GGA",
  "state": "relaxed",
  "lattice_angstrom": [[5.347, 0.000, 0.000], [-2.673, 4.630, 0.000], [0.000, 0.000, 10.116]],
  "species": ["La", "La", "La", "La", "Ag", "Ag", "Sn", "Sn"],
  "frac_coords": [[0.333, 0.667, 0.095], [0.333, 0.667, 0.405], [0.667, 0.333, 0.595], [0.667, 0.333, 0.905], [0.333, 0.667, 0.750], [0.667, 0.333, 0.250], [0.000, 0.000, 0.000], [0.000, 0.000, 0.500]],
  "spacegroup": "P6_3/mmc, No. 194",
  "e_tot_ev_per_atom": -4.3144,
  "density_g_cm3": 6.7
}

---

[5]
{
  "formula": "KHfCdAu",
  "functional": "PBE-GGA",
  "state": "relaxed",
  "lattice_angstrom": [[0.000, 3.548, 3.548], [3.548, 0.000, 3.548], [3.548, 3.548, 0.000]],
  "species": ["K", "Hf", "Cd", "Au"],
  "frac_coords": [[0.000, 0.000, 0.000], [0.750, 0.750, 0.750], [0.500, 0.500, 0.500], [0.250, 0.250, 0.250]],
  "spacegroup": "F-43m, No. 216",
  "e_above_lowest_polymorph_ev_per_atom": 0.242,
  "e_tot_ev_per_atom": -3.2359,
  "density_g_cm3": 9.8
}

---

[6]
{
  "formula": "AlCdGaSe2S2",
  "functional": "PBE-GGA",
  "state": "relaxed",
  "lattice_angstrom": [[5.739, 0.000, 0.000], [-0.006, 5.749, 0.000], [-2.818, -2.760, 5.318]],
  "species": ["Al", "Cd", "Ga", "Se", "Se", "S", "S"],
  "frac_coords": [[0.000, 0.000, 0.000], [0.501, 0.483, 0.001], [0.762, 0.238, 0.500], [0.367, 0.893, 0.279], [0.629, 0.628, 0.722], [0.097, 0.097, 0.740], [0.899, 0.342, 0.261]],
  "spacegroup": "P1, No. 1",
  "e_tot_ev_per_atom": -4.0428,
  "density_g_cm3": 4.1
}

---

[7]
{
  "formula": "TmSbPd",
  "functional": "PBE-GGA",
  "state": "relaxed",
  "lattice_angstrom": [[2.785, -4.194, 0.000], [2.785, 4.194, 0.000], [0.000, 0.000, 11.612]],
  "species": ["Tm", "Tm", "Tm", "Tm", "Sb", "Sb", "Sb", "Sb", "Pd", "Pd", "Pd", "Pd"],
  "frac_coords": [[0.206, 0.794, 0.911], [0.294, 0.706, 0.411], [0.706, 0.294, 0.589], [0.794, 0.206, 0.089], [0.127, 0.873, 0.175], [0.373, 0.627, 0.675], [0.627, 0.373, 0.325], [0.873, 0.127, 0.825], [0.062, 0.938, 0.611], [0.438, 0.562, 0.111], [0.562, 0.438, 0.889], [0.938, 0.062, 0.389]],
  "spacegroup": "Cmce, No. 64",
  "e_tot_ev_per_atom": -5.3432,
  "density_g_cm3": 9.7
}

---

[8]
{
  "formula": "Lu2CdAg",
  "functional": "PBE-GGA",
  "state": "relaxed",
  "lattice_angstrom": [[0.000, 3.583, 3.583], [3.583, 0.000, 3.583], [3.583, 3.583, 0.000]],
  "species": ["Lu", "Lu", "Cd", "Ag"],
  "frac_coords": [[0.000, 0.000, 0.000], [0.250, 0.250, 0.250], [0.500, 0.500, 0.500], [0.750, 0.750, 0.750]],
  "ef_mev_per_atom": -39.1,
  "spacegroup": "F-43m, No. 216",
  "e_tot_ev_per_atom": -3.2309,
  "density_g_cm3": 10.3
}